Below is TaMnRh2W after structural relaxation, with properties calculated at the PBEsol level.

abc: 4.569 4.569 4.460
angles: 90.00 90.00 90.00
Space group P4/mmm (No. 123)
Asymmetric unit:
Ta  0.000  0.000  0.000 [1 per cell]
Mn  0.000  0.000  0.500 [1 per cell]
Rh  0.000  0.500  0.000 [2 per cell]
W  0.500  0.500  0.500 [1 per cell]

Output
- ΔE_f (eV/atom) = 1.772